First-principles (GGA-PBE) data for a relaxed Tb6PrTl5 crystal, as listed in Alexandria via LeMat-Bulk.

Unit cell a=5.0697 b=8.8008 c=15.3769 alpha=90.00 beta=90.00 gamma=90.00
Last column: nearest neighbours and their distance in Å.
Space group Immm (No. 71)
Symmetry-distinct sites (fractional):
Tb: 0.0000 0.2239 0.0000 (multiplicity 4)  6 Tl 3.21-3.41, 2 Pr 3.51
Tb: 0.0000 0.2653 0.3294 (multiplicity 8)  7 Tl 3.27-3.46, 1 Pr 3.51, 4 Tb 3.53-3.65
Pr: 0.0000 0.0000 0.5000 (multiplicity 2)  4 Tl 3.43, 8 Tb 3.51
Tl: 0.0000 0.0000 0.1806 (multiplicity 4)  8 Tb 3.27-3.41, 2 Tl 3.63
Tl: 0.0000 0.5000 0.1501 (multiplicity 4)  8 Tb 3.35-3.46, 2 Pr 3.43, 2 Tl 3.63
Tl: 0.0000 0.5000 0.5000 (multiplicity 2)  8 Tb 3.21-3.34

Results
* mass density: 10.2 g/cm3
* formation energy: -0.28 eV/atom
* E: -95.5 eV per cell

First-principles (GGA-PBE) data for a relaxed LiHSe2 crystal, as listed in Alexandria via LeMat-Bulk.

Unit cell a=3.2984 b=3.2984 c=21.4220 alpha=90.00 beta=90.00 gamma=120.00
Last column: nearest neighbours and their distance in Å.
Space group R-3m (No. 166, hexagonal axes)
Symmetry-distinct sites (fractional):
Li: 0.0000 0.0000 0.0000 (multiplicity 3)  6 Se 2.63
H: 0.0000 0.0000 0.5000 (multiplicity 3)  2 Se 1.76
Se: 0.0000 0.0000 0.4178 (multiplicity 6)  1 H 1.76

Results
* distance to the lowest polymorph of the same formula: 0.0 kJ/mol of atoms
* mass density: 4.1 g/cm3
* E: -38.3 eV per cell

First-principles (GGA-PBE) data for a relaxed Tc2Pb crystal, as listed in Alexandria via LeMat-Bulk.

Unit cell a=6.4269 b=6.4269 c=6.4269 alpha=90.00 beta=90.00 gamma=90.00
Last column: nearest neighbours and their distance in Å.
Space group Pa-3 (No. 205)
Symmetry-distinct sites (fractional):
Tc: 0.0987 0.0987 0.0987 (multiplicity 8)  1 Tc 2.20
Pb: 0.0000 0.0000 0.5000 (multiplicity 4)  6 Tc 2.73

Results
* distance to the lowest polymorph of the same formula: 93.7 kJ/mol of atoms
* mass density: 10.1 g/cm3
* formation energy: 1.33 eV/atom
* E: -81.8 eV per cell

First-principles (GGA-PBE) data for a relaxed Si3HIr crystal, as listed in Alexandria via LeMat-Bulk.

Unit cell a=4.6375 b=4.6375 c=4.6375 alpha=90.00 beta=90.00 gamma=90.00
Last column: nearest neighbours and their distance in Å.
Space group Pm-3m (No. 221)
Symmetry-distinct sites (fractional):
Si: 0.0000 0.0000 0.5000 (multiplicity 3)  2 Ir 2.32
H: 0.5000 0.5000 0.5000 (multiplicity 1)  12 Si 3.28
Ir: 0.0000 0.0000 0.0000 (multiplicity 1)  6 Si 2.32

Results
* distance to the lowest polymorph of the same formula: 37.3 kJ/mol of atoms
* mass density: 4.6 g/cm3
* E: -24.4 eV per cell

First-principles (GGA-PBE) data for a relaxed ErGa2Ag4 crystal, as listed in Alexandria via LeMat-Bulk.

Unit cell a=7.9691 b=7.9691 c=4.2380 alpha=90.00 beta=90.00 gamma=90.00
Last column: nearest neighbours and their distance in Å.
Space group P4_2/mnm (No. 136)
Symmetry-distinct sites (fractional):
Er: 0.0000 0.0000 0.0000 (multiplicity 2)  6 Ga 3.10-3.37, 4 Ag 3.44
Ga: 0.2013 0.2013 0.5000 (multiplicity 4)  6 Ag 2.64-2.69
Ag: 0.0964 0.6548 0.5000 (multiplicity 8)  3 Ga 2.64-2.69, 2 Ag 2.80-2.91

Results
* distance to the lowest polymorph of the same formula: 1.6 kJ/mol of atoms
* mass density: 9.1 g/cm3
* formation energy: -0.20 eV/atom
* E: -46.8 eV per cell

First-principles (GGA-PBE) data for a relaxed SrLi2Ag2Pb crystal, as listed in Alexandria via LeMat-Bulk.

Unit cell a=4.9956 b=4.9956 c=6.3101 alpha=90.00 beta=90.00 gamma=90.00
Last column: nearest neighbours and their distance in Å.
Space group P4/mmm (No. 123)
Symmetry-distinct sites (fractional):
Sr: 0.0000 0.0000 0.0000 (multiplicity 1)  2 Pb 3.16
Li: 0.0000 0.5000 0.5000 (multiplicity 2)  2 Pb 2.50
Ag: 0.5000 0.5000 0.2333 (multiplicity 2)  1 Ag 2.94, 4 Li 3.01
Pb: 0.0000 0.0000 0.5000 (multiplicity 1)  4 Li 2.50

Results
* mass density: 5.5 g/cm3
* formation energy: -0.03 eV/atom
* E: -15.1 eV per cell

First-principles (GGA-PBE) data for a relaxed Tb2YHoO6 crystal, as listed in Alexandria via LeMat-Bulk.

Unit cell a=5.8293 b=5.8293 c=15.2078 alpha=90.00 beta=90.00 gamma=120.00
Last column: nearest neighbours and their distance in Å.
Space group R3 (No. 146, hexagonal axes)
Symmetry-distinct sites (fractional):
Tb: 0.0000 0.0000 0.0000 (multiplicity 3)  6 O 2.26-2.38
Tb: 0.0000 0.0000 0.4996 (multiplicity 3)  6 O 2.26-2.38
Y: 0.0000 0.0000 0.2824 (multiplicity 3)  6 O 2.25-2.37
Ho: 0.0000 0.0000 0.7832 (multiplicity 3)  6 O 2.24-2.35
O: 0.0031 0.7104 0.8899 (multiplicity 9)  1 Y 2.25, 2 Tb 2.26-2.38, 1 Ho 2.35
O: 0.0053 0.2960 0.3904 (multiplicity 9)  1 Ho 2.24, 2 Tb 2.26-2.38, 1 Y 2.37

Results
* mass density: 7.4 g/cm3
* formation energy without anion corrections: -3.52 eV per atom
* E: -255.9 eV per cell

First-principles (GGA-PBE) data for a relaxed CaTbInIr crystal, as listed in Alexandria via LeMat-Bulk.

Unit cell a=7.1830 b=7.1830 c=7.1830 alpha=90.00 beta=90.00 gamma=90.00
Last column: nearest neighbours and their distance in Å.
Space group F-43m (No. 216)
Symmetry-distinct sites (fractional):
Ca: 0.0000 0.0000 0.0000 (multiplicity 4)  4 Ir 3.11, 4 In 3.11
Tb: 0.0000 0.0000 0.5000 (multiplicity 4)  4 In 3.11, 4 Ir 3.11
In: 0.2500 0.2500 0.7500 (multiplicity 4)  4 Tb 3.11, 4 Ca 3.11
Ir: 0.2500 0.2500 0.2500 (multiplicity 4)  4 Tb 3.11, 4 Ca 3.11

Results
* mass density: 9.1 g/cm3
* formation energy: -0.41 eV/atom
* E: -79.4 eV per cell

First-principles (GGA-PBE) data for a relaxed KZr3Sc crystal, as listed in Alexandria via LeMat-Bulk.

Unit cell a=5.0129 b=5.0129 c=5.0129 alpha=90.00 beta=90.00 gamma=90.00
Last column: nearest neighbours and their distance in Å.
Space group Pm-3m (No. 221)
Symmetry-distinct sites (fractional):
K: 0.0000 0.0000 0.0000 (multiplicity 1)  6 Zr 2.51
Zr: 0.0000 0.0000 0.5000 (multiplicity 3)  2 K 2.51
Sc: 0.5000 0.5000 0.5000 (multiplicity 1)  12 Zr 3.54

Results
* distance to the lowest polymorph of the same formula: 45.9 kJ/mol of atoms
* mass density: 4.7 g/cm3
* formation energy: 1.70 eV/atom
* E: -24.6 eV per cell

First-principles (GGA-PBE) data for a relaxed TiFe2IrAu crystal, as listed in Alexandria via LeMat-Bulk.

Unit cell a=4.4630 b=4.4630 c=4.6491 alpha=90.00 beta=90.00 gamma=90.00
Last column: nearest neighbours and their distance in Å.
Space group P4/mmm (No. 123)
Symmetry-distinct sites (fractional):
Ti: 0.0000 0.0000 0.0000 (multiplicity 1)  2 Ir 2.32
Fe: 0.0000 0.5000 0.5000 (multiplicity 2)  2 Ir 2.23
Ir: 0.0000 0.0000 0.5000 (multiplicity 1)  4 Fe 2.23, 2 Ti 2.32
Au: 0.5000 0.5000 0.0000 (multiplicity 1)  4 Ti 3.16, 8 Fe 3.22

Results
* mass density: 9.8 g/cm3
* formation energy: 1.07 eV/atom
* E: -31.6 eV per cell